(1)
Here is an optimized crystal structure of NaTiCuSe3 from Alexandria via LeMat-Bulk. Energies are from PBE.

```
NaTiCuSe3
1.0
7.728 0.000 0.000
0.000 3.723 0.000
-3.085 0.000 8.903
Na Ti Cu Se
2 2 2 6
Direct
0.248 0.250 0.280
0.752 0.750 0.720
0.307 0.750 0.829
0.693 0.250 0.171
0.082 0.250 0.599
0.918 0.750 0.401
0.088 0.250 0.855
0.262 0.750 0.551
0.441 0.750 0.130
0.559 0.250 0.870
0.738 0.250 0.449
0.912 0.750 0.145
```

**DOS(E_F)**: 0.100 states/eV/atom
**Formation energy from raw total energies**: -0.93 eV/atom
**SG**: No. 11

(2)
Here is an optimized crystal structure of YTi2GaAu from Alexandria via LeMat-Bulk. Energies are from PBE.

```
YTi2GaAu
1.0
5.059 0.000 0.000
0.000 5.059 0.000
0.000 0.000 4.788
Y Ti Ga Au
1 2 1 1
Direct
0.000 0.000 0.000
0.000 0.500 0.500
0.500 0.000 0.500
0.500 0.500 0.000
0.500 0.500 0.500
```

**DOS(E_F)**: 1.075 states/eV/atom
**Total energy**: -26.671 eV per cell
**SG**: No. 123

(3)
Here is an optimized crystal structure of Hg2RhPb8 from Alexandria via LeMat-Bulk. Energies are from PBE.

```
Hg2RhPb8
1.0
8.566 -2.311 0.000
8.566 2.311 0.000
-5.251 0.000 8.262
Hg Rh Pb
2 1 8
Direct
0.219 0.219 0.367
0.781 0.781 0.633
0.500 0.500 0.500
0.095 0.095 0.996
0.114 0.114 0.571
0.333 0.333 0.154
0.446 0.446 0.735
0.554 0.554 0.265
0.667 0.667 0.846
0.886 0.886 0.429
0.905 0.905 0.004
```

**DOS(E_F)**: 0.574 states/eV/atom
**Total energy**: -36.980 eV per cell
**SG**: No. 12

(4)
Here is an optimized crystal structure of Y2Au from Alexandria via LeMat-Bulk. Energies are from PBE.

```
Y2Au
1.0
0.000 3.525 3.525
3.525 0.000 3.525
3.525 3.525 0.000
Y Au
2 1
Direct
0.250 0.250 0.250
0.750 0.750 0.750
0.000 0.000 0.000
```

**DOS(E_F)**: 1.278 states/eV/atom
**Total energy**: -17.563 eV per cell
**SG**: No. 225

(5)
Here is an optimized crystal structure of Ba3H from Alexandria via LeMat-Bulk. Energies are from PBE.

```
Ba3H
1.0
3.943 0.000 0.000
0.000 4.107 0.000
0.000 0.000 10.788
Ba H
3 1
Direct
0.000 0.000 0.000
0.000 0.500 0.304
0.500 0.500 0.668
0.500 0.000 0.213
```

**DOS(E_F)**: 1.322 states/eV/atom
**SG**: No. 25
**Distance to the lowest polymorph of the same formula**: 0.597 eV per formula unit

(6)
Here is an optimized crystal structure of ThMgAu from Alexandria via LeMat-Bulk. Energies are from PBE.

```
ThMgAu
1.0
0.000 3.451 3.451
3.451 0.000 3.451
3.451 3.451 0.000
Th Mg Au
1 1 1
Direct
0.000 0.000 0.000
0.500 0.500 0.500
0.250 0.250 0.250
```

**DOS(E_F)**: 1.217 states/eV/atom
**Total energy**: -13.455 eV per cell
**SG**: No. 216